Record 1
La8Nb7S22: relaxed, PBE.

Unit cell a=16.3825 b=16.3825 c=5.8402 alpha=90.00 beta=90.00 gamma=90.70
Last column: nearest neighbours and their distance in Å.
Fractional coordinates of all 74 atoms:
La 0.0157 0.1388 0.0116  7 S 2.92-3.02
La 0.1108 0.7355 0.4915  7 S 2.88-3.12
La 0.1388 0.0157 0.5116  7 S 2.92-3.02
La 0.2350 0.6088 0.0195  7 S 2.88-3.08
La 0.2645 0.8892 0.9915  7 S 2.88-3.12
La 0.3603 0.4863 0.5000  7 S 2.91-2.99
La 0.3912 0.7650 0.5195  7 S 2.88-3.08
La 0.4863 0.3603 0.0000  7 S 2.91-2.99
La 0.5137 0.6397 0.0000  7 S 2.91-2.99
La 0.6088 0.2350 0.5195  7 S 2.88-3.08
La 0.6397 0.5137 0.5000  7 S 2.91-2.99
La 0.7355 0.1108 0.9915  7 S 2.88-3.12
La 0.7650 0.3912 0.0195  7 S 2.88-3.08
La 0.8612 0.9843 0.5116  7 S 2.92-3.02
La 0.8892 0.2645 0.4915  7 S 2.88-3.12
La 0.9843 0.8612 0.0116  7 S 2.92-3.02
Nb 0.0000 0.5000 0.5775  6 S 2.49-2.52
Nb 0.0715 0.4298 0.0806  6 S 2.48-2.51
Nb 0.1443 0.3568 0.5782  6 S 2.49-2.52
Nb 0.2126 0.2864 0.0797  6 S 2.48-2.52
Nb 0.2864 0.2126 0.5797  6 S 2.48-2.52
Nb 0.3568 0.1443 0.0782  6 S 2.49-2.52
Nb 0.4298 0.0715 0.5806  6 S 2.48-2.51
Nb 0.5000 0.0000 0.0775  6 S 2.49-2.52
Nb 0.5702 0.9285 0.5806  6 S 2.48-2.51
Nb 0.6432 0.8557 0.0782  6 S 2.49-2.52
Nb 0.7136 0.7874 0.5797  6 S 2.48-2.52
Nb 0.7874 0.7136 0.0797  6 S 2.48-2.52
Nb 0.8557 0.6432 0.5782  6 S 2.49-2.52
Nb 0.9285 0.5702 0.0806  6 S 2.48-2.51
S 0.0055 0.3606 0.7499  3 Nb 2.48-2.50
S 0.0132 0.8878 0.5062  5 La 2.92-3.02
S 0.0691 0.5712 0.2465  3 Nb 2.50-2.52
S 0.0712 0.2902 0.2486  3 Nb 2.49-2.52
S 0.1122 0.9868 0.0062  5 La 2.92-3.02
S 0.1377 0.7628 0.9977  5 La 2.91-3.02
S 0.1397 0.4962 0.7467  3 Nb 2.49
S 0.1465 0.2161 0.7462  3 Nb 2.49-2.51
S 0.2122 0.4277 0.2454  3 Nb 2.50-2.52
S 0.2161 0.1465 0.2462  3 Nb 2.49-2.51
S 0.2372 0.8623 0.4977  5 La 2.91-3.02
S 0.2632 0.6383 0.5099  5 La 2.93-3.05
S 0.2848 0.3514 0.7499  3 Nb 2.48-2.51
S 0.2902 0.0712 0.7486  3 Nb 2.49-2.52
S 0.3514 0.2848 0.2499  3 Nb 2.48-2.51
S 0.3606 0.0055 0.2499  3 Nb 2.48-2.50
S 0.3617 0.7368 0.0099  5 La 2.93-3.05
S 0.3881 0.5126 0.0014  5 La 2.91-2.99
S 0.4277 0.2122 0.7454  3 Nb 2.50-2.52
S 0.4288 0.9309 0.7465  3 Nb 2.50-2.52
S 0.4874 0.6119 0.5014  5 La 2.91-2.99
S 0.4962 0.1397 0.2467  3 Nb 2.49
S 0.5038 0.8603 0.2467  3 Nb 2.49
S 0.5126 0.3881 0.5014  5 La 2.91-2.99
S 0.5712 0.0691 0.7465  3 Nb 2.50-2.52
S 0.5723 0.7878 0.7454  3 Nb 2.50-2.52
S 0.6119 0.4874 0.0014  5 La 2.91-2.99
S 0.6383 0.2632 0.0099  5 La 2.93-3.05
S 0.6394 0.9945 0.2499  3 Nb 2.48-2.50
S 0.6486 0.7152 0.2499  3 Nb 2.48-2.51
S 0.7098 0.9288 0.7486  3 Nb 2.49-2.52
S 0.7152 0.6486 0.7499  3 Nb 2.48-2.51
S 0.7368 0.3617 0.5099  5 La 2.93-3.05
S 0.7628 0.1377 0.4977  5 La 2.91-3.02
S 0.7839 0.8535 0.2462  3 Nb 2.49-2.51
S 0.7878 0.5723 0.2454  3 Nb 2.50-2.52
S 0.8535 0.7839 0.7462  3 Nb 2.49-2.51
S 0.8603 0.5038 0.7467  3 Nb 2.49
S 0.8623 0.2372 0.9977  5 La 2.91-3.02
S 0.8878 0.0132 0.0062  5 La 2.92-3.02
S 0.9288 0.7098 0.2486  3 Nb 2.49-2.52
S 0.9309 0.4288 0.2465  3 Nb 2.50-2.52
S 0.9868 0.1122 0.5062  5 La 2.92-3.02
S 0.9945 0.6394 0.7499  3 Nb 2.48-2.50

space group = No. 37
ρ = 5228 kg/m³
uncorrected formation energy = -1770 meV per atom
final energy = -532.44 eV per cell
total magnetization = 0.0 μB per formula unit



Record 2
Tl2TeI: relaxed, PBE.

Unit cell a=6.3798 b=7.1767 c=7.2268 alpha=102.41 beta=98.01 gamma=100.98
Last column: nearest neighbours and their distance in Å.
Fractional coordinates of all 8 atoms:
Tl 0.2033 0.4136 0.1378  2 Te 3.29-3.63, 2 I 3.47-3.57, 1 Tl 3.62
Tl 0.2838 0.8490 0.5723  2 Te 3.35-3.41, 3 I 3.51-3.69, 1 Tl 3.59
Tl 0.7162 0.1510 0.4277  2 Te 3.35-3.41, 3 I 3.51-3.69, 1 Tl 3.59
Tl 0.7967 0.5864 0.8622  2 Te 3.29-3.63, 2 I 3.47-3.57, 1 Tl 3.62
Te 0.2902 0.9690 0.0478  1 Te 2.83
Te 0.7098 0.0310 0.9522  1 Te 2.83
I 0.2597 0.3684 0.6459  6 Tl 3.47-3.73
I 0.7403 0.6316 0.3541  6 Tl 3.47-3.73

space group = No. 2
ρ = 7070 kg/m³
uncorrected formation energy = -409 meV per atom
final energy = -22.12 eV per cell
total magnetization = 0.0 μB per formula unit



Record 3
ZrTeAs2: relaxed, PBE.

Unit cell a=4.8837 b=4.8837 c=3.6352 alpha=90.00 beta=90.00 gamma=101.85
Last column: nearest neighbours and their distance in Å.
Fractional coordinates of all 4 atoms:
Zr 0.0000 0.0000 0.0000  8 As 3.04, 2 Te 3.08
Te 0.5000 0.5000 0.0000  8 As 3.04, 2 Zr 3.08
As 0.0000 0.5000 0.5000  4 Zr 3.04, 4 Te 3.04, 2 As 3.08
As 0.5000 0.0000 0.5000  4 Zr 3.04, 4 Te 3.04, 2 As 3.08

space group = No. 65
ρ = 7215 kg/m³
uncorrected formation energy = -125 meV per atom
final energy = -21.49 eV per cell
total magnetization = 0.0 μB per formula unit



Record 4
AgTe2Rh2: relaxed, PBE.

Unit cell a=7.6695 b=7.6695 c=7.6695 alpha=149.98 beta=149.98 gamma=42.97
Last column: nearest neighbours and their distance in Å.
Fractional coordinates of all 5 atoms:
Ag 0.0000 0.0000 0.0000  8 Te 3.36
Te 0.3711 0.3711 0.0000  4 Rh 2.63
Te 0.6289 0.6289 0.0000  4 Rh 2.63
Rh 0.2500 0.7500 0.5000  4 Te 2.63, 4 Rh 2.81
Rh 0.7500 0.2500 0.5000  4 Te 2.63, 4 Rh 2.81

space group = No. 139
ρ = 8386 kg/m³
uncorrected formation energy = -43 meV per atom
final energy = -24.05 eV per cell
total magnetization = 0.0 μB per formula unit



Record 5
Hf2Nb2Al: relaxed, PBE.

Unit cell a=7.1155 b=7.1155 c=3.9975 alpha=90.00 beta=90.00 gamma=90.00
Last column: nearest neighbours and their distance in Å.
Fractional coordinates of all 10 atoms:
Hf 0.1684 0.3316 0.0000  6 Nb 2.81-2.96
Hf 0.3316 0.8316 0.0000  6 Nb 2.81-2.96
Hf 0.6684 0.1684 0.0000  6 Nb 2.81-2.96
Hf 0.8316 0.6684 0.0000  6 Nb 2.81-2.96
Nb 0.1359 0.6359 0.5000  1 Nb 2.73, 2 Al 2.77, 6 Hf 2.81-2.96
Nb 0.3641 0.1359 0.5000  1 Nb 2.73, 2 Al 2.77, 6 Hf 2.81-2.96
Nb 0.6359 0.8641 0.5000  1 Nb 2.73, 2 Al 2.77, 6 Hf 2.81-2.96
Nb 0.8641 0.3641 0.5000  1 Nb 2.73, 2 Al 2.77, 6 Hf 2.81-2.96
Al 0.0000 0.0000 0.5000  4 Nb 2.77
Al 0.5000 0.5000 0.5000  4 Nb 2.77

space group = No. 127
ρ = 9350 kg/m³
final energy = -87.13 eV per cell
DFT formation energy = 0.04 eV per atom
total magnetization = 0.0 μB per formula unit



Record 6
MnHgPBr: relaxed, PBE.

Unit cell a=3.6841 b=3.6848 c=8.4734 alpha=89.89 beta=89.88 gamma=60.03
Last column: nearest neighbours and their distance in Å.
Fractional coordinates of all 4 atoms:
Mn 0.0000 0.0000 0.0000  3 P 2.31-2.32, 1 Br 2.33
Hg 0.6604 0.6662 0.4264  1 P 2.70
P 0.6664 0.6662 0.1077  3 Mn 2.31-2.32
Br 0.9981 0.0006 0.7245  1 Mn 2.33

space group = No. 1
ρ = 6106 kg/m³
uncorrected formation energy = -87 meV per atom
final energy = -16.90 eV per cell
total magnetization = 3.1 μB per formula unit



Record 7
NaSrLa2O: relaxed, PBE.

Unit cell a=5.0325 b=5.0325 c=6.0333 alpha=90.00 beta=90.00 gamma=90.00
Last column: nearest neighbours and their distance in Å.
Fractional coordinates of all 5 atoms:
Na 0.0000 0.0000 0.0000  4 Sr 3.56, 8 La 3.93
Sr 0.5000 0.5000 0.0000  2 O 3.02
La 0.0000 0.5000 0.5000  2 O 2.52
La 0.5000 0.0000 0.5000  2 O 2.52
O 0.5000 0.5000 0.5000  4 La 2.52

space group = No. 123
ρ = 4395 kg/m³
uncorrected formation energy = -919 meV per atom
final energy = -22.41 eV per cell
total magnetization = 0.0 μB per formula unit



Record 8
TaReMo2H: relaxed, PBE.

Unit cell a=3.9626 b=3.9626 c=4.2913 alpha=90.00 beta=90.00 gamma=90.00
Last column: nearest neighbours and their distance in Å.
Fractional coordinates of all 5 atoms:
Ta 0.0000 0.0000 0.0000  2 H 2.15
Re 0.5000 0.5000 0.0000  4 Ta 2.80, 8 Mo 2.92
Mo 0.0000 0.5000 0.5000  2 H 1.98
Mo 0.5000 0.0000 0.5000  2 H 1.98
H 0.0000 0.0000 0.5000  4 Mo 1.98, 2 Ta 2.15

space group = No. 123
ρ = 13802 kg/m³
final energy = -48.60 eV per cell
total magnetization = 0.0 μB per formula unit